## La2TbDyY5 (PBE-GGA)

Data for a relaxed La2TbDyY5 crystal.

Output
Total magnetization in μB per atom: 0.000
Electronic total energy in eV for the cell shown: -100.35
Energy of formation from the pure elements in kJ/mol of formula units: 119.1

Structure (CIF):
```
data_La2TbDyY5
_space_group_name_H-M_alt 'P 1'
_space_group_IT_number 1
_space_group_name_Hall 'P 1'
_cell_length_a 5.686
_cell_length_b 10.443
_cell_length_c 10.721
_cell_angle_alpha 90.00
_cell_angle_beta 90.00
_cell_angle_gamma 105.80
loop_
_atom_site_label
_atom_site_type_symbol
_atom_site_fract_x
_atom_site_fract_y
_atom_site_fract_z
Dy1 Dy 0.413 0.826 0.458
Dy2 Dy 0.587 0.174 0.958
Y1 Y 0.701 0.401 0.205
Y2 Y 0.299 0.599 0.705
Y3 Y 0.016 0.031 0.022
La1 La 0.113 0.227 0.734
Tb1 Tb 0.198 0.396 0.013
Y4 Y 0.720 0.441 0.813
La2 La 0.887 0.773 0.234
Y5 Y 0.280 0.559 0.313
Tb2 Tb 0.802 0.604 0.513
La3 La 0.885 0.770 0.819
Y6 Y 0.480 0.961 0.739
Y7 Y 0.984 0.969 0.522
Y8 Y 0.520 0.039 0.239
La4 La 0.115 0.230 0.319
Y9 Y 0.385 0.769 0.022
Y10 Y 0.615 0.231 0.522
```

## La2Tb3Dy6Y (PBE-GGA)

Data for a relaxed La2Tb3Dy6Y crystal.

Output
Total magnetization in μB per atom: 0.000
Electronic total energy in eV for the cell shown: -57.58
Energy of formation from the pure elements in kJ/mol of formula units: 23.1

Structure (CIF):
```
data_La2Tb3Dy6Y
_space_group_name_H-M_alt 'P 1'
_space_group_IT_number 1
_space_group_name_Hall 'P 1'
_cell_length_a 6.212
_cell_length_b 6.212
_cell_length_c 11.863
_cell_angle_alpha 94.99
_cell_angle_beta 94.99
_cell_angle_gamma 119.99
loop_
_atom_site_label
_atom_site_type_symbol
_atom_site_fract_x
_atom_site_fract_y
_atom_site_fract_z
Tb1 Tb 0.834 0.166 0.500
La1 La 0.666 0.334 0.000
Dy1 Dy 0.085 0.418 0.254
Dy2 Dy 0.247 0.247 0.746
La2 La 0.334 0.666 0.000
Tb2 Tb 0.500 0.500 0.500
Dy3 Dy 0.753 0.753 0.254
Dy4 Dy 0.418 0.085 0.254
Tb3 Tb 0.166 0.834 0.500
Y1 Y 0.000 0.000 0.000
Dy5 Dy 0.582 0.915 0.746
Dy6 Dy 0.915 0.582 0.746
```

## LaTb3Dy6Y2 (PBE-GGA)

Data for a relaxed LaTb3Dy6Y2 crystal.

Output
Total magnetization in μB per atom: 0.000
Electronic total energy in eV for the cell shown: -59.12
Energy of formation from the pure elements in kJ/mol of formula units: 23.0

Structure (CIF):
```
data_LaTb3Dy6Y2
_space_group_name_H-M_alt 'P 1'
_space_group_IT_number 1
_space_group_name_Hall 'P 1'
_cell_length_a 6.180
_cell_length_b 6.180
_cell_length_c 11.845
_cell_angle_alpha 94.97
_cell_angle_beta 94.97
_cell_angle_gamma 119.97
loop_
_atom_site_label
_atom_site_type_symbol
_atom_site_fract_x
_atom_site_fract_y
_atom_site_fract_z
Y1 Y 0.333 0.667 0.000
Y2 Y 0.667 0.333 0.000
Tb1 Tb 0.500 0.500 0.500
Dy1 Dy 0.581 0.915 0.747
Tb2 Tb 0.833 0.167 0.500
Dy2 Dy 0.751 0.751 0.253
La1 La 0.000 0.000 0.000
Dy3 Dy 0.915 0.581 0.747
Dy4 Dy 0.249 0.249 0.747
Dy5 Dy 0.419 0.085 0.253
Tb3 Tb 0.167 0.833 0.500
Dy6 Dy 0.085 0.419 0.253
```

## LaTb6Dy3Y2 (PBE-GGA)

Data for a relaxed LaTb6Dy3Y2 crystal.

Output
Total magnetization in μB per atom: 0.000
Electronic total energy in eV for the cell shown: -59.21
Energy of formation from the pure elements in kJ/mol of formula units: 22.6

Structure (CIF):
```
data_LaTb6Dy3Y2
_space_group_name_H-M_alt 'P 1'
_space_group_IT_number 1
_space_group_name_Hall 'P 1'
_cell_length_a 6.188
_cell_length_b 6.188
_cell_length_c 11.866
_cell_angle_alpha 94.97
_cell_angle_beta 94.97
_cell_angle_gamma 119.97
loop_
_atom_site_label
_atom_site_type_symbol
_atom_site_fract_x
_atom_site_fract_y
_atom_site_fract_z
Tb1 Tb 0.915 0.581 0.747
Y1 Y 0.333 0.667 0.000
Dy1 Dy 0.500 0.500 0.500
Tb2 Tb 0.249 0.249 0.747
Y2 Y 0.667 0.333 0.000
Tb3 Tb 0.419 0.085 0.253
La1 La 0.000 0.000 0.000
Dy2 Dy 0.167 0.833 0.500
Tb4 Tb 0.581 0.915 0.747
Tb5 Tb 0.751 0.751 0.253
Dy3 Dy 0.833 0.167 0.500
Tb6 Tb 0.085 0.419 0.253
```

## La5TbDy2Y (PBE-GGA)

Data for a relaxed La5TbDy2Y crystal.

Output
Total magnetization in μB per atom: 0.000
Electronic total energy in eV for the cell shown: -87.58
Energy of formation from the pure elements in kJ/mol of formula units: 110.4

Structure (CIF):
```
data_La5TbDy2Y
_space_group_name_H-M_alt 'P 1'
_space_group_IT_number 1
_space_group_name_Hall 'P 1'
_cell_length_a 5.516
_cell_length_b 11.281
_cell_length_c 10.616
_cell_angle_alpha 90.00
_cell_angle_beta 90.00
_cell_angle_gamma 104.15
loop_
_atom_site_label
_atom_site_type_symbol
_atom_site_fract_x
_atom_site_fract_y
_atom_site_fract_z
Y1 Y 0.601 0.202 0.008
Tb1 Tb 0.211 0.422 0.009
La1 La 0.500 0.000 0.758
La2 La 0.999 0.999 0.508
La3 La 0.623 0.246 0.508
Y2 Y 0.399 0.798 0.508
Dy1 Dy 0.886 0.772 0.257
La4 La 0.500 0.000 0.258
La5 La 0.279 0.557 0.319
Dy2 Dy 0.114 0.228 0.757
La6 La 0.279 0.559 0.699
La7 La 0.377 0.754 0.008
La8 La 0.721 0.443 0.819
La9 La 0.721 0.441 0.199
Dy3 Dy 0.887 0.774 0.759
Dy4 Dy 0.113 0.226 0.259
La10 La 0.001 0.001 0.008
Tb2 Tb 0.789 0.578 0.509
```

## La3Tb2Dy6Y (PBE-GGA)

Data for a relaxed La3Tb2Dy6Y crystal.

Output
Total magnetization in μB per atom: 0.000
Electronic total energy in eV for the cell shown: -57.87
Energy of formation from the pure elements in kJ/mol of formula units: 24.2

Structure (CIF):
```
data_La3Tb2Dy6Y
_space_group_name_H-M_alt 'P 1'
_space_group_IT_number 1
_space_group_name_Hall 'P 1'
_cell_length_a 6.242
_cell_length_b 6.242
_cell_length_c 11.892
_cell_angle_alpha 95.02
_cell_angle_beta 95.02
_cell_angle_gamma 120.02
loop_
_atom_site_label
_atom_site_type_symbol
_atom_site_fract_x
_atom_site_fract_y
_atom_site_fract_z
Dy1 Dy 0.748 0.748 0.245
Dy2 Dy 0.081 0.415 0.245
Tb1 Tb 0.333 0.667 0.000
La1 La 0.500 0.500 0.500
Dy3 Dy 0.252 0.252 0.755
La2 La 0.833 0.167 0.500
La3 La 0.167 0.833 0.500
Tb2 Tb 0.667 0.333 0.000
Dy4 Dy 0.919 0.585 0.755
Dy5 Dy 0.585 0.919 0.755
Y1 Y 0.000 0.000 0.000
Dy6 Dy 0.415 0.081 0.245
```